# PmNd6Co2

A relaxed structure of PmNd6Co2 (PBE, the Alexandria database).

Cell and atoms, written as POSCAR:
```
PmNd6Co2
1.0
-4.8657 5.1061 5.2943
4.8657 -5.1061 5.2943
4.8657 5.1061 -5.2943
Pm Nd Co
2 12 4
Direct
0.0000 0.0000 0.0000
0.5000 0.0000 0.5000
0.0115 0.2257 0.7858
0.1928 0.4946 0.3018
0.1928 0.8910 0.6982
0.3050 0.3032 0.6082
0.3050 0.6968 0.0018
0.4399 0.2257 0.2142
0.5601 0.7743 0.7858
0.6950 0.3032 0.9982
0.6950 0.6968 0.3918
0.8072 0.1090 0.3018
0.8072 0.5054 0.6982
0.9885 0.7743 0.2142
0.1101 0.5000 0.6101
0.3911 0.3911 0.0000
0.6089 0.6089 0.0000
0.8899 0.5000 0.3899
```

Values from the calculation:
- symmetry = Immm, No. 71
- formation enthalpy at 0 K (meV/atom) = 21


# LaPm6Sm

A relaxed structure of LaPm6Sm (PBE, the Alexandria database).

Cell and atoms, written as POSCAR:
```
LaPm6Sm
1.0
7.3233 0.0000 0.0000
0.0000 7.3233 0.0000
0.0000 0.0000 5.1802
La Pm Sm
1 6 1
Direct
0.0000 0.0000 0.0000
0.0000 0.5000 0.0000
0.2519 0.2519 0.5000
0.2519 0.7481 0.5000
0.5000 0.0000 0.0000
0.7481 0.2519 0.5000
0.7481 0.7481 0.5000
0.5000 0.5000 0.0000
```

Values from the calculation:
- symmetry = P4/mmm, No. 123
- formation enthalpy at 0 K (meV/atom) = 16


# Lu3Sb

A relaxed structure of Lu3Sb (PBE, the Alexandria database).

Cell and atoms, written as POSCAR:
```
Lu3Sb
1.0
4.6918 0.0000 0.0000
0.0000 4.6918 0.0000
0.0000 0.0000 4.6918
Lu Sb
3 1
Direct
0.0000 0.0000 0.5000
0.0000 0.5000 0.0000
0.5000 0.0000 0.0000
0.5000 0.5000 0.5000
```

Values from the calculation:
- symmetry = Pm-3m, No. 221
- raw formation energy (eV per atom) = -0.36


# BaGa2Sn3

A relaxed structure of BaGa2Sn3 (PBE, the Alexandria database).

Cell and atoms, written as POSCAR:
```
BaGa2Sn3
1.0
9.0918 -2.2803 0.0000
9.0918 2.2803 0.0000
-5.2778 0.0000 8.3413
Ba Ga Sn
2 4 6
Direct
0.1596 0.1596 0.1120
0.8404 0.8404 0.8880
0.1668 0.1668 0.6513
0.4832 0.4832 0.8529
0.5168 0.5168 0.1471
0.8332 0.8332 0.3487
0.0174 0.0174 0.3378
0.3167 0.3167 0.5553
0.3797 0.3797 0.2137
0.6203 0.6203 0.7863
0.6833 0.6833 0.4447
0.9826 0.9826 0.6622
```

Values from the calculation:
- symmetry = C2/m, No. 12
- formation enthalpy at 0 K (meV/atom) = -250


# Zn2SiTe

A relaxed structure of Zn2SiTe (PBE, the Alexandria database).

Cell and atoms, written as POSCAR:
```
Zn2SiTe
1.0
2.9830 0.0000 0.0000
0.0000 4.1464 0.0000
-0.0013 0.0000 7.2100
Zn Si Te
2 1 1
Direct
0.0000 0.0000 0.0000
0.0030 0.5000 0.6116
0.5026 0.5000 0.8970
0.0032 0.0000 0.3802
```

Values from the calculation:
- symmetry = Pm, No. 6
- raw formation energy (eV per atom) = 0.07


# Tb2Pm3Ho6Mg

A relaxed structure of Tb2Pm3Ho6Mg (PBE, the Alexandria database).

Cell and atoms, written as POSCAR:
```
Tb2Pm3Ho6Mg
1.0
3.0684 -5.3205 0.0000
3.0684 5.3205 0.0000
-2.0633 0.0000 11.5353
Tb Pm Ho Mg
2 3 6 1
Direct
0.1662 0.8338 0.0000
0.8338 0.1662 0.0000
0.0000 0.0000 0.5000
0.3341 0.6659 0.5000
0.6659 0.3341 0.5000
0.0867 0.4190 0.7540
0.2487 0.2487 0.2469
0.4190 0.0867 0.7540
0.5810 0.9133 0.2460
0.7513 0.7513 0.7531
0.9133 0.5810 0.2460
0.5000 0.5000 0.0000
```

Values from the calculation:
- symmetry = C2/m, No. 12
- formation enthalpy at 0 K (meV/atom) = 30


# TbDyIrO6

A relaxed structure of TbDyIrO6 (PBE, the Alexandria database).

Cell and atoms, written as POSCAR:
```
TbDyIrO6
1.0
5.4957 0.0000 0.0000
-2.7479 4.7594 0.0000
0.0000 0.0000 9.5852
Tb Dy Ir O
2 2 2 12
Direct
0.0000 0.0000 0.0000
0.0000 0.0000 0.5000
0.3333 0.6667 0.2500
0.6667 0.3333 0.7500
0.3333 0.6667 0.7500
0.6667 0.3333 0.2500
0.0417 0.3691 0.6346
0.0417 0.6727 0.8654
0.3273 0.3691 0.8654
0.3273 0.9583 0.6346
0.3691 0.0417 0.1346
0.3691 0.3273 0.3654
0.6309 0.6727 0.6346
0.6309 0.9583 0.8654
0.6727 0.0417 0.3654
0.6727 0.6309 0.1346
0.9583 0.3273 0.1346
0.9583 0.6309 0.3654
```

Values from the calculation:
- symmetry = P-31c, No. 163
- raw formation energy (eV per atom) = -2.20


# LiNbZn

A relaxed structure of LiNbZn (PBE, the Alexandria database).

Cell and atoms, written as POSCAR:
```
LiNbZn
1.0
3.5503 0.0000 0.0000
-1.7751 3.0746 0.0000
0.0000 0.0000 10.5861
Li Nb Zn
2 2 2
Direct
0.3333 0.6667 0.2500
0.6667 0.3333 0.7500
0.0000 0.0000 0.0000
0.0000 0.0000 0.5000
0.0000 0.0000 0.2500
0.0000 0.0000 0.7500
```

Values from the calculation:
- symmetry = P6_3/mmc, No. 194
- formation enthalpy at 0 K (meV/atom) = 1245


# MgBi

A relaxed structure of MgBi (PBE, the Alexandria database).

Cell and atoms, written as POSCAR:
```
MgBi
1.0
5.0182 0.0000 0.0000
0.0000 1.8561 8.7907
0.0000 -1.8561 8.7907
Mg Bi
3 3
Direct
0.0000 0.0000 0.0000
0.0000 0.3406 0.3406
0.5000 0.2074 0.2074
0.0000 0.6905 0.6905
0.5000 0.5457 0.5457
0.5000 0.8672 0.8672
```

Values from the calculation:
- symmetry = Amm2, No. 38
- formation enthalpy at 0 K (meV/atom) = -44


# TiZn3Co

A relaxed structure of TiZn3Co (PBE, the Alexandria database).

Cell and atoms, written as POSCAR:
```
TiZn3Co
1.0
4.4153 0.0000 0.0000
0.0000 4.4153 0.0000
0.0000 0.0000 4.4153
Ti Zn Co
1 3 1
Direct
0.0000 0.0000 0.0000
0.0000 0.5000 0.5000
0.5000 0.0000 0.5000
0.5000 0.5000 0.0000
0.5000 0.5000 0.5000
```

Values from the calculation:
- symmetry = Pm-3m, No. 221
- formation enthalpy at 0 K (meV/atom) = 455


# La6Tb12Sm

A relaxed structure of La6Tb12Sm (PBE, the Alexandria database).

Cell and atoms, written as POSCAR:
```
La6Tb12Sm
1.0
6.7224 3.8812 4.2539
-6.7224 3.8812 4.2539
0.0000 -7.7624 4.2539
La Tb Sm
6 12 1
Direct
0.1543 0.5950 0.5950
0.4050 0.4050 0.8457
0.4050 0.8457 0.4050
0.5950 0.1543 0.5950
0.5950 0.5950 0.1543
0.8457 0.4050 0.4050
0.0000 0.2548 0.7452
0.0000 0.7452 0.2548
0.1445 0.1445 0.4195
0.1445 0.4195 0.1445
0.2548 0.0000 0.7452
0.2548 0.7452 0.0000
0.4195 0.1445 0.1445
0.5805 0.8555 0.8555
0.7452 0.0000 0.2548
0.7452 0.2548 0.0000
0.8555 0.5805 0.8555
0.8555 0.8555 0.5805
0.5000 0.5000 0.5000
```

Values from the calculation:
- symmetry = R-3m, No. 166
- formation enthalpy at 0 K (meV/atom) = 212


# Ca3SiBr2

A relaxed structure of Ca3SiBr2 (PBE, the Alexandria database).

Cell and atoms, written as POSCAR:
```
Ca3SiBr2
1.0
2.2503 1.2992 12.4836
-2.2503 1.2992 12.4836
0.0000 -2.5984 12.4836
Ca Si Br
3 1 2
Direct
0.0000 0.0000 0.0000
0.1322 0.1322 0.1322
0.8678 0.8678 0.8678
0.5000 0.5000 0.5000
0.2933 0.2933 0.2933
0.7067 0.7067 0.7067
```

Values from the calculation:
- symmetry = R-3m, No. 166
- raw formation energy (eV per atom) = -1.05


# TlNiPdCl6

A relaxed structure of TlNiPdCl6 (PBE, the Alexandria database).

Cell and atoms, written as POSCAR:
```
TlNiPdCl6
1.0
3.2187 -5.3769 0.0000
3.2187 5.3769 0.0000
-0.1744 0.0000 7.1495
Tl Ni Pd Cl
1 1 1 6
Direct
0.0000 0.0000 0.0000
0.6752 0.3248 0.5000
0.3382 0.6618 0.5000
0.0041 0.6307 0.3200
0.3693 0.9959 0.6800
0.3713 0.3663 0.3133
0.6337 0.6287 0.6867
0.6465 0.0166 0.2965
0.9834 0.3535 0.7035
```

Values from the calculation:
- symmetry = C2, No. 5
- raw formation energy (eV per atom) = -0.58


# NdPuRh

A relaxed structure of NdPuRh (PBE, the Alexandria database).

Cell and atoms, written as POSCAR:
```
NdPuRh
1.0
-4.8388 6.3080 3.6392
4.8388 -6.3080 3.6392
4.8388 6.3080 -3.6392
Nd Pu Rh
6 6 6
Direct
0.9999 0.2500 0.2499
0.0001 0.7500 0.7501
0.4154 0.3724 0.5430
0.4153 0.8732 0.0421
0.8295 0.8724 0.4570
0.8311 0.3732 0.9579
0.1651 0.2896 0.8743
0.1651 0.7908 0.3755
0.4153 0.2908 0.1257
0.4153 0.7896 0.6245
0.6654 0.1654 0.5000
0.6654 0.6654 0.0000
0.0820 0.4152 0.6666
0.0820 0.9154 0.1668
0.4137 0.6653 0.2484
0.4169 0.1653 0.7516
0.7486 0.4154 0.3334
0.7486 0.9152 0.8332
```

Values from the calculation:
- symmetry = Ima2, No. 46
- formation enthalpy at 0 K (meV/atom) = -423


# ScTiMn4

A relaxed structure of ScTiMn4 (PBE, the Alexandria database).

Cell and atoms, written as POSCAR:
```
ScTiMn4
1.0
0.0000 3.4197 3.4197
3.4197 0.0000 3.4197
3.4197 3.4197 0.0000
Sc Ti Mn
1 1 4
Direct
0.0000 0.0000 0.0000
0.7500 0.7500 0.7500
0.3753 0.3753 0.3753
0.3753 0.3753 0.8741
0.3753 0.8741 0.3753
0.8741 0.3753 0.3753
```

Values from the calculation:
- symmetry = F-43m, No. 216
- formation enthalpy at 0 K (meV/atom) = -181


# PrSnPt5

A relaxed structure of PrSnPt5 (PBE, the Alexandria database).

Cell and atoms, written as POSCAR:
```
PrSnPt5
1.0
8.8691 0.0000 0.0000
0.0000 5.5036 0.0000
0.0000 0.0000 10.9136
Pr Sn Pt
4 4 20
Direct
0.2500 0.2500 0.0531
0.2500 0.7500 0.5531
0.7500 0.2500 0.4469
0.7500 0.7500 0.9469
0.1522 0.2500 0.3521
0.3478 0.7500 0.8521
0.6522 0.2500 0.1479
0.8478 0.7500 0.6479
0.0599 0.2500 0.5794
0.0637 0.5068 0.7987
0.0637 0.9932 0.7987
0.0928 0.7500 0.0172
0.1852 0.7500 0.2615
0.3148 0.2500 0.7615
0.4072 0.2500 0.5172
0.4363 0.0068 0.2987
0.4363 0.4932 0.2987
0.4401 0.7500 0.0794
0.5599 0.2500 0.9206
0.5637 0.5068 0.7013
0.5637 0.9932 0.7013
0.5928 0.7500 0.4828
0.6852 0.7500 0.2385
0.8148 0.2500 0.7385
0.9072 0.2500 0.9828
0.9363 0.0068 0.2013
0.9363 0.4932 0.2013
0.9401 0.7500 0.4206
```

Values from the calculation:
- symmetry = Pnma, No. 62
- formation enthalpy at 0 K (meV/atom) = -667


# CaZrNbHg2

A relaxed structure of CaZrNbHg2 (PBE, the Alexandria database).

Cell and atoms, written as POSCAR:
```
CaZrNbHg2
1.0
5.1425 0.0000 0.0000
0.0000 5.1425 0.0000
0.0000 0.0000 5.1713
Ca Zr Nb Hg
1 1 1 2
Direct
0.0000 0.0000 0.0000
0.0000 0.0000 0.5000
0.5000 0.5000 0.5000
0.0000 0.5000 0.0000
0.5000 0.0000 0.0000
```

Values from the calculation:
- symmetry = P4/mmm, No. 123
- formation enthalpy at 0 K (meV/atom) = 1585


no.,total moment (Bohr magnetons per cell)
1,0.56
2,0.00
3,0.03
4,0.00
5,0.00
6,0.00
7,5.69
8,0.00
9,0.00
10,0.00
11,0.00
12,0.00
13,2.96
14,34.90
15,2.15
16,0.00
17,0.00